Record 1
The following is a DFT calculation (GGA-PBE) of an optimized crystal structure of AgF3.

```
AgF3
1.0
-1.355 1.651 5.229
3.940 -3.653 2.175
5.633 5.847 -0.386
F Ag
12 4
Cartesian
1.347 1.548 0.328
5.752 0.747 3.038
6.275 4.903 1.347
3.896 2.434 1.510
6.871 2.296 6.690
1.943 -1.059 5.671
4.322 1.411 5.508
5.370 3.550 3.789
8.131 3.216 2.875
2.466 3.098 3.980
2.848 0.294 3.228
0.087 0.629 4.143
1.293 -1.001 3.702
0.000 0.000 0.000
2.816 2.923 -0.193
4.109 1.922 3.509
```

Calculated values
E_form (uncorrected) ... -1.009 eV per atom



Record 2
The following is a DFT calculation (GGA-PBE) of an optimized crystal structure of PrY3O.

```
PrY3O
1.0
5.692 0.000 0.000
0.000 6.530 0.003
0.000 0.001 7.098
Y O Pr
6 2 2
Cartesian
2.484 2.299 1.428
2.419 5.271 6.742
5.266 3.565 3.193
5.330 0.006 4.972
2.420 5.271 3.210
5.265 3.566 6.759
3.823 4.373 1.427
0.977 4.462 4.976
5.237 0.085 1.423
2.391 2.220 4.977
```

Calculated values
E_form (uncorrected) ... -1.087 eV per atom



Record 3
The following is a DFT calculation (GGA-PBE) of an optimized crystal structure of RbNaEr2F8.

```
RbNaEr2F8
1.0
-0.871 3.704 0.552
-0.841 -1.104 6.038
7.419 1.606 0.927
F Rb Er Na
8 1 2 1
Cartesian
-0.939 1.089 4.596
2.978 2.310 2.572
2.730 1.896 4.945
5.105 0.432 5.139
6.647 3.117 2.921
4.442 4.551 3.224
1.266 -0.345 4.293
0.603 3.774 2.378
3.709 0.803 0.463
4.736 2.495 4.097
0.972 1.711 3.420
0.000 0.000 0.000
```

Calculated values
E_form (uncorrected) ... -3.669 eV per atom



Record 4
The following is a DFT calculation (GGA-PBE) of an optimized crystal structure of Pr6Ru2Br3F.

```
Pr6Ru2Br3F
1.0
-0.298 -3.393 -6.204
5.608 -0.836 4.237
-5.346 -4.702 4.176
Ru Pr F Br
2 6 1 3
Cartesian
1.671 -2.541 -2.723
3.639 -1.689 0.755
-2.838 -4.956 2.820
-0.803 -2.362 -1.433
-1.255 -7.444 0.067
2.802 -3.974 -0.612
1.219 -1.487 2.141
0.767 -6.568 3.641
0.000 0.000 0.000
-1.964 -5.308 -2.337
-0.018 -4.465 1.104
1.928 -3.623 4.545
```

Calculated values
E_form (uncorrected) ... -1.151 eV per atom



Record 5
The following is a DFT calculation (GGA-PBE) of an optimized crystal structure of VNiTe4.

```
VNiTe4
1.0
3.681 0.000 0.000
0.000 6.635 0.338
0.000 -2.176 6.262
Te Ni V
4 1 1
Cartesian
0.000 4.429 1.808
1.840 1.173 1.828
1.840 3.286 4.772
0.000 0.030 4.792
0.000 2.229 3.300
1.840 3.317 0.169
```

Calculated values
E_form (uncorrected) ... -0.199 eV per atom



Record 6
The following is a DFT calculation (GGA-PBE) of an optimized crystal structure of KTlCd3.

```
KTlCd3
1.0
-4.879 2.093 -4.546
0.873 -1.863 -6.671
-3.751 -6.105 1.214
Cd K Tl
6 2 2
Cartesian
-2.734 -6.056 -3.973
-5.177 -4.367 -3.069
-3.305 -1.320 -3.675
-1.736 -0.598 -6.091
-0.855 -2.998 -4.582
-2.425 -3.720 -2.165
-4.068 -3.625 -6.765
-0.092 -0.693 -1.492
-2.731 -0.543 -8.886
-6.308 -1.682 -3.916
```

Calculated values
Calculated formation energy ... -56 meV/atom



Size of the total moment: 0.0 0.0 0.0 0.0 1.4 0.0 (μB per formula unit)